[1]
# PBE KFeMo2, optimized geometry
data_KFeMo2
_symmetry_space_group_name_H-M 'P 1'
_symmetry_Int_Tables_number 1
_cell_length_a 2.721
_cell_length_b 2.721
_cell_length_c 9.936
_cell_angle_alpha 90.00
_cell_angle_beta 90.00
_cell_angle_gamma 90.00
loop_
_symmetry_equiv_pos_as_xyz
'x,y,z'
loop_
_atom_site_label
_atom_site_fract_x
_atom_site_fract_y
_atom_site_fract_z
K1 0.000 0.000 0.000
Fe1 0.000 0.000 0.500
Mo1 0.500 0.500 0.326
Mo2 0.500 0.500 0.674
# energy of formation from the pure elements = 0.861 eV/atom



[2]
# PBE KFeMo2, optimized geometry
data_KFeMo2
_symmetry_space_group_name_H-M 'P 1'
_symmetry_Int_Tables_number 1
_cell_length_a 2.816
_cell_length_b 2.816
_cell_length_c 31.301
_cell_angle_alpha 90.00
_cell_angle_beta 90.00
_cell_angle_gamma 120.00
loop_
_symmetry_equiv_pos_as_xyz
'x,y,z'
loop_
_atom_site_label
_atom_site_fract_x
_atom_site_fract_y
_atom_site_fract_z
K1 0.000 0.000 0.000
K2 0.333 0.667 0.667
K3 0.667 0.333 0.333
Fe1 0.000 0.000 0.500
Fe2 0.333 0.667 0.167
Fe3 0.667 0.333 0.833
Mo1 0.000 0.000 0.232
Mo2 0.000 0.000 0.768
Mo3 0.333 0.667 0.435
Mo4 0.333 0.667 0.899
Mo5 0.667 0.333 0.101
Mo6 0.667 0.333 0.565
# energy of formation from the pure elements = 0.936 eV/atom



[3]
# PBE KFeMo2, optimized geometry
data_KFeMo2
_symmetry_space_group_name_H-M 'P 1'
_symmetry_Int_Tables_number 1
_cell_length_a 3.804
_cell_length_b 3.804
_cell_length_c 5.081
_cell_angle_alpha 90.00
_cell_angle_beta 90.00
_cell_angle_gamma 90.00
loop_
_symmetry_equiv_pos_as_xyz
'x,y,z'
loop_
_atom_site_label
_atom_site_fract_x
_atom_site_fract_y
_atom_site_fract_z
K1 0.000 0.000 0.000
Fe1 0.500 0.500 0.000
Mo1 0.000 0.500 0.500
Mo2 0.500 0.000 0.500
# energy of formation from the pure elements = 1.634 eV/atom